Entry 1:
## RbAcO3 (GGA-PBE)

Data for an optimized crystal structure of RbAcO3.

Properties
As for the density of states at the Fermi level: 0.512 states/eV per atom. Its magnetization is 0.220 μB per atom.

abc: 4.6547 4.6547 4.6547
angles: 90.00 90.00 90.00
Closest atoms and distances in Å follow each position.
Element x y z (fractional)
Rb 0.0000 0.0000 0.0000  12 O 3.29
Ac 0.5000 0.5000 0.5000  6 O 2.33
O 0.0000 0.5000 0.5000  2 Ac 2.33
O 0.5000 0.0000 0.5000  2 Ac 2.33
O 0.5000 0.5000 0.0000  2 Ac 2.33

Entry 2:
## RbAcO2 (GGA-PBE)

Data for an optimized crystal structure of RbAcO2.

Properties
Its magnetization is 0.000 μB per atom.

abc: 3.2972 3.2972 6.9648
angles: 90.00 90.00 90.00
Closest atoms and distances in Å follow each position.
Element x y z (fractional)
Rb 0.0000 0.0000 0.0000  8 O 3.15, 4 Rb 3.30, 2 Ac 3.48
Ac 0.0000 0.0000 0.5000  8 O 2.70
O 0.5000 0.5000 0.3041  4 Ac 2.70, 1 O 2.73
O 0.5000 0.5000 0.6959  4 Ac 2.70, 1 O 2.73

Entry 3:
## RbAcO (GGA-PBE)

Data for an optimized crystal structure of RbAcO.

Properties
As for the density of states at the Fermi level: 0.729 states/eV per atom. Its magnetization is 0.000 μB per atom.

abc: 4.2028 4.2028 8.4998
angles: 90.00 90.00 120.00
Closest atoms and distances in Å follow each position.
Element x y z (fractional)
Rb 0.0000 0.0000 0.0000  6 Rb 4.20
Ac 0.6667 0.3333 0.5000  3 O 2.43
O 0.3333 0.6667 0.5000  3 Ac 2.43

no.,formation energy (no corrections) (eV per formula unit),raw total energy (eV per formula unit)
1,-8.97,-28.92
2,-8.48,-23.48
3,-4.71,-14.74